No. 1
This record from the Alexandria database describes an optimized crystal structure of GaReH3. The functional is PBE-GGA.

extended XYZ file:
```
5
Lattice="-1.117 2.347 -2.387 -3.221 -1.440 0.092 -0.913 2.208 2.598" Properties=species:S:1:pos:R:3 pbc="T T T"
H -0.559 1.173 -1.194
Re 0.000 0.000 0.000
H -0.457 1.104 1.299
H -1.610 -0.720 0.046
Ga -2.625 1.557 0.151
```

Results
Its energy above the most stable polymorph in this dataset is 0.0 meV per atom.



No. 2
This record from the Alexandria database describes an optimized crystal structure of SnP2PbBr. The functional is PBE-GGA.

extended XYZ file:
```
5
Lattice="-4.923 -0.544 0.844 0.643 -5.539 0.180 0.821 0.256 4.950" Properties=species:S:1:pos:R:3 pbc="T T T"
Br 0.000 0.000 0.000
P -2.461 -0.272 0.422
Pb 0.321 -2.769 0.090
Sn -1.730 -2.913 2.987
P 0.410 0.128 2.475
```

Results
For the formation energy without anion corrections, the calculation gives 4.90 eV/f.u.



No. 3
This record from the Alexandria database describes an optimized crystal structure of CaLa2In. The functional is PBE-GGA.

extended XYZ file:
```
4
Lattice="6.208 0.027 0.000 2.082 5.849 0.000 -4.145 -2.938 3.568" Properties=species:S:1:pos:R:3 pbc="T T T"
Ca 1.041 2.924 1.784
La 4.145 2.938 0.000
La 0.000 0.000 0.000
In 3.104 0.014 1.784
```

Results
Its energy above the most stable polymorph in this dataset is 22.1 meV per atom.



No. 4
This record from the Alexandria database describes an optimized crystal structure of AlReNi2. The functional is PBE-GGA.

extended XYZ file:
```
4
Lattice="-3.020 3.093 0.963 -2.915 -0.113 -3.332 1.522 -3.315 2.512" Properties=species:S:1:pos:R:3 pbc="T T T"
Ni 0.000 0.000 0.000
Ni -2.968 1.490 -1.185
Al -2.233 0.634 1.145
Re -2.181 -0.969 -1.003
```



No. 5
This record from the Alexandria database describes an optimized crystal structure of Tm2NbZn. The functional is PBE-GGA.

extended XYZ file:
```
4
Lattice="-0.597 -0.590 3.184 3.150 -0.855 0.433 1.882 7.847 1.806" Properties=species:S:1:pos:R:3 pbc="T T T"
Zn 1.276 -0.723 1.808
Tm 1.433 5.972 1.375
Nb 2.218 3.201 2.712
Tm 0.450 1.875 0.432
```

Results
Its energy above the most stable polymorph in this dataset is 0.0 meV per atom.



No. 6
This record from the Alexandria database describes an optimized crystal structure of LaZnSb2Pd. The functional is PBE-GGA.

extended XYZ file:
```
5
Lattice="-4.845 1.915 -0.545 -1.537 -4.274 -1.351 -1.037 -1.204 4.991" Properties=species:S:1:pos:R:3 pbc="T T T"
Pd -0.769 -2.137 -0.675
Sb -0.519 -0.602 2.496
La -3.710 -1.782 1.548
Zn 0.000 0.000 0.000
Sb -2.423 0.957 -0.272
```

Results
For the formation energy without anion corrections, the calculation gives -1.41 eV/f.u.



No. 7
This record from the Alexandria database describes an optimized crystal structure of Ba2SrAg. The functional is PBE-GGA.

extended XYZ file:
```
4
Lattice="-0.260 -2.211 3.899 -1.452 -4.126 -2.436 7.791 -4.558 -2.066" Properties=species:S:1:pos:R:3 pbc="T T T"
Ba 1.168 -3.478 0.691
Sr 3.229 -5.212 -2.741
Ba 5.673 -8.204 -4.274
Ag 5.519 -7.025 -1.031
```

Results
Its energy above the most stable polymorph in this dataset is 61.6 meV per atom.



No. 8
This record from the Alexandria database describes an optimized crystal structure of Rb2CdCu2I6. The functional is PBE-GGA.

extended XYZ file:
```
11
Lattice="8.278 0.000 0.000 -4.139 7.261 -0.126 0.000 -4.300 7.673" Properties=species:S:1:pos:R:3 pbc="T T T"
I -2.014 5.617 1.536
Cu 0.000 -0.318 2.027
I 4.139 0.818 4.941
I 2.125 -2.656 6.011
Cu 4.139 3.279 5.520
Rb 0.000 0.665 5.988
I 2.014 5.617 1.536
Rb 4.139 2.295 1.559
Cd 4.139 -2.150 3.836
I 6.154 -2.656 6.011
I 0.000 2.143 2.606
```

Results
For the formation energy without anion corrections, the calculation gives -7.78 eV/f.u.



| no. | E_tot (eV/atom) | mass density (Mg/m³) |
| --- | --- | --- |
| 1 | -4.626 | 9.8 |
| 2 | -3.061 | 5.5 |
| 3 | -3.874 | 5.6 |
| 4 | -7.030 | 10.8 |
| 5 | -5.084 | 9.2 |
| 6 | -4.211 | 7.1 |
| 7 | -2.179 | 3.9 |
| 8 | -2.557 | 4.3 |